# YBe2In

YBe2In after structural relaxation (GGA-PBEsol, the Alexandria database).

Its total magnetization is 0.0 μB per formula unit. Its formation energy is 0.20 eV per atom.

Geometry as CIF:
```
data_YBe2In
_chemical_formula_sum 'Y2 Be4 In2'
_cell_length_a 8.7441
_cell_length_b 8.7441
_cell_length_c 8.7441
_cell_angle_alpha 150.96
_cell_angle_beta 150.96
_cell_angle_gamma 41.53
_space_group_name_H-M_alt 'P 1'
_space_group_IT_number 1
loop_
_space_group_symop_operation_xyz
'x,y,z'
loop_
_atom_site_label
_atom_site_fract_x
_atom_site_fract_y
_atom_site_fract_z
Y1 0.3750 0.6250 0.7500
Y2 0.6250 0.3750 0.2500
Be1 0.0000 0.0000 0.0000
Be2 0.0000 0.0000 0.5000
Be3 0.0000 0.5000 0.0000
Be4 0.5000 0.0000 0.5000
In1 0.1250 0.8750 0.2500
In2 0.8750 0.1250 0.7500
```